The following is a DFT calculation (PBE) of a relaxed structure of Pr2NdOs.

- total energy (eV/atom) = -6.00
- E_form (meV per atom) = 385

Unit cell a=3.9036 b=3.9036 c=32.2529 alpha=90.00 beta=90.00 gamma=120.00
Space group R-3m (No. 166, hexagonal axes)
Symmetry-distinct sites (fractional):
Pr1 0.0000 0.0000 0.1137 x6
Nd1 0.0000 0.0000 0.0000 x3
Os1 0.0000 0.0000 0.5000 x3


The following is a DFT calculation (PBE) of a relaxed structure of CaZrCl2.

- formation energy without anion corrections (eV per atom) = -1.031
- total energy (eV/atom) = -4.59

Unit cell a=3.5572 b=3.5572 c=26.7294 alpha=90.00 beta=90.00 gamma=120.00
Space group R-3m (No. 166, hexagonal axes)
Symmetry-distinct sites (fractional):
Ca1 0.0000 0.0000 0.0000 x3
Zr1 0.0000 0.0000 0.5000 x3
Cl1 0.0000 0.0000 0.4000 x6


The following is a DFT calculation (PBE) of a relaxed structure of Pr4CoHg.

- total energy (eV/atom) = -4.57
- E_form (meV per atom) = -153

Unit cell a=8.902 b=14.181 c=6.198 alpha=90.00 beta=115.69 gamma=90.00
Space group C2/c (No. 15)
Symmetry-distinct sites (fractional):
Pr1 0.116 0.185 0.080 x8
Pr2 0.234 0.433 0.341 x8
Co1 0.000 0.004 0.250 x4
Hg1 0.000 0.379 0.750 x4


The following is a DFT calculation (PBE) of a relaxed structure of ZrTaCl2.

- formation energy without anion corrections (eV per atom) = 0.616
- total energy (eV/atom) = -5.41

Unit cell a=6.938 b=6.938 c=6.938 alpha=90.00 beta=90.00 gamma=90.00
Space group F-43m (No. 216)
Symmetry-distinct sites (fractional):
Zr1 0.000 0.000 0.000 x4
Ta1 0.250 0.250 0.250 x4
Cl1 0.000 0.000 0.500 x4
Cl2 0.250 0.250 0.750 x4